(1)
This record from the Alexandria database describes crystalline Ac3Zn6Ag5 at its relaxed geometry. The functional is PBE.

Summary:
The total energy comes out at -37.8 eV/f.u. For the calculated volume, the calculation gives 22.3 Å³/atom. For the formation energy, the calculation gives -252 meV/atom. Its density of states at the Fermi level is 7.60 states/eV/cell. The size of the total moment comes out at 0.000 μB per atom.

a b c (Å): 8.804 8.804 8.804
angles (deg): 149.86 112.14 76.01
Fractional positions:
Ac (0.000, 0.000, 0.000)
Ac (0.299, 0.299, 0.000)
Ac (0.701, 0.701, 0.000)
Zn (0.161, 0.874, 0.287)
Zn (0.307, 0.500, 0.807)
Zn (0.413, 0.126, 0.287)
Zn (0.587, 0.874, 0.713)
Zn (0.693, 0.500, 0.193)
Zn (0.839, 0.126, 0.713)
Ag (0.013, 0.661, 0.352)
Ag (0.310, 0.661, 0.648)
Ag (0.500, 0.000, 0.500)
Ag (0.690, 0.339, 0.352)
Ag (0.987, 0.339, 0.648)

(2)
This record from the Alexandria database describes crystalline Ac4P2SCl at its relaxed geometry. The functional is PBE.

Summary:
The total energy comes out at -46.7 eV/f.u. For the calculated volume, the calculation gives 29.9 Å³/atom. The uncorrected formation energy is -1.69 eV per atom. Its density of states at the Fermi level is 3.67 states/eV/cell. The size of the total moment comes out at 0.000 μB per atom.

a b c (Å): 7.597 4.379 7.616
angles (deg): 90.00 109.29 90.00
Fractional positions:
Ac (0.230, 0.000, 0.235)
Ac (0.237, 0.500, 0.754)
Ac (0.763, 0.500, 0.246)
Ac (0.770, 0.000, 0.765)
P (0.000, 0.000, 0.500)
P (0.000, 0.500, 0.000)
S (0.500, 0.000, 0.000)
Cl (0.500, 0.500, 0.500)

(3)
This record from the Alexandria database describes crystalline ScSbPtI2 at its relaxed geometry. The functional is PBE.

Summary:
The total energy comes out at -17.5 eV/f.u. For the calculated volume, the calculation gives 34.8 Å³/atom. The uncorrected formation energy is 0.41 eV per atom. Its density of states at the Fermi level is 4.54 states/eV/cell. The value obtained for the offset from the most stable computed form is 202 meV/atom. The size of the total moment comes out at 0.136 μB per atom.

a b c (Å): 5.415 5.415 5.928
angles (deg): 90.00 90.00 90.00
Fractional positions:
Sc (0.000, 0.000, 0.000)
Sb (0.000, 0.000, 0.500)
Pt (0.500, 0.500, 0.500)
I (0.000, 0.500, 0.000)
I (0.500, 0.000, 0.000)

(4)
This record from the Alexandria database describes crystalline HoBrCl at its relaxed geometry. The functional is PBE.

Summary:
The total energy comes out at -13.3 eV/f.u. For the calculated volume, the calculation gives 31.1 Å³/atom. The uncorrected formation energy is -1.73 eV per atom. Its density of states at the Fermi level is 2.83 states/eV/cell. The size of the total moment comes out at 0.000 μB per atom.

a b c (Å): 3.786 6.533 8.318
angles (deg): 111.19 102.71 90.02
Fractional positions:
Ho (0.250, 0.243, 0.000)
Ho (0.750, 0.757, 0.000)
Br (0.370, 0.029, 0.249)
Br (0.630, 0.971, 0.751)
Cl (0.147, 0.484, 0.788)
Cl (0.853, 0.516, 0.212)